Density functional theory data (PBE) for SrCaZnRh after structural relaxation.

DOS(E_F) = 12.837 states/eV per cell
calculated formation energy = -193 meV per atom
V = 24.1 Å³/atom
ρ = 5.09 g cm⁻³
space-group type = F-43m (216)
spin magnetization = 0.00 μB per cell
electronic total energy = -0.1202 Ha/atom

abc: 7.2827 7.2827 7.2827
angles: 90.00 90.00 90.00
Positions (direct):
Sr 0.0000 0.0000 0.0000
Sr 0.0000 0.5000 0.5000
Sr 0.5000 0.0000 0.5000
Sr 0.5000 0.5000 0.0000
Ca 0.0000 0.0000 0.5000
Ca 0.0000 0.5000 0.0000
Ca 0.5000 0.0000 0.0000
Ca 0.5000 0.5000 0.5000
Zn 0.2500 0.2500 0.7500
Zn 0.2500 0.7500 0.2500
Zn 0.7500 0.2500 0.2500
Zn 0.7500 0.7500 0.7500
Rh 0.2500 0.2500 0.2500
Rh 0.2500 0.7500 0.7500
Rh 0.7500 0.2500 0.7500
Rh 0.7500 0.7500 0.2500

=====

Density functional theory data (PBE) for Ca2TaRh after structural relaxation.

DOS(E_F) = 4.307 states/eV per cell
calculated formation energy = -41 meV per atom
V = 26.3 Å³/atom
ρ = 5.74 g cm⁻³
space-group type = P4mm (99)
spin magnetization = 0.00 μB per cell
electronic total energy = -0.2147 Ha/atom

abc: 3.4129 3.4129 9.0406
angles: 90.00 90.00 90.00
Positions (direct):
Ca 0.0000 0.0000 0.0000
Ca 0.5000 0.5000 0.3739
Ta 0.5000 0.5000 0.7305
Rh 0.0000 0.0000 0.6217

=====

Density functional theory data (PBE) for CaTa4Rh after structural relaxation.

DOS(E_F) = 4.284 states/eV per cell
calculated formation energy = 407 meV per atom
V = 19.9 Å³/atom
ρ = 12.03 g cm⁻³
space-group type = F-43m (216)
spin magnetization = 0.00 μB per cell
electronic total energy = -0.3327 Ha/atom

abc: 5.5309 5.5309 5.5309
angles: 60.00 60.00 60.00
Positions (direct):
Ca 0.0000 0.0000 0.0000
Ta 0.3742 0.3742 0.3742
Ta 0.3742 0.3742 0.8774
Ta 0.3742 0.8774 0.3742
Ta 0.8774 0.3742 0.3742
Rh 0.7500 0.7500 0.7500

=====

Density functional theory data (PBE) for CaTa2Rh after structural relaxation.

DOS(E_F) = 11.580 states/eV per cell
calculated formation energy = 334 meV per atom
V = 19.5 Å³/atom
ρ = 10.76 g cm⁻³
space-group type = R-3m (166)
spin magnetization = 0.00 μB per cell
electronic total energy = -0.2914 Ha/atom

abc: 3.0040 3.0040 29.8986
angles: 90.00 90.00 120.00
Positions (direct):
Ca 0.0000 0.0000 0.0000
Ca 0.3333 0.6667 0.6667
Ca 0.6667 0.3333 0.3333
Ta 0.0000 0.0000 0.2385
Ta 0.0000 0.0000 0.7615
Ta 0.3333 0.6667 0.4282
Ta 0.3333 0.6667 0.9051
Ta 0.6667 0.3333 0.0949
Ta 0.6667 0.3333 0.5718
Rh 0.0000 0.0000 0.5000
Rh 0.3333 0.6667 0.1667
Rh 0.6667 0.3333 0.8333

=====

Density functional theory data (PBE) for Ca3TaRh after structural relaxation.

DOS(E_F) = 3.977 states/eV per cell
calculated formation energy = 700 meV per atom
V = 30.6 Å³/atom
ρ = 4.38 g cm⁻³
space-group type = Pm-3m (221)
spin magnetization = 3.84 μB per cell
electronic total energy = -0.1596 Ha/atom

abc: 5.3504 5.3504 5.3504
angles: 90.00 90.00 90.00
Positions (direct):
Ca 0.0000 0.0000 0.5000
Ca 0.0000 0.5000 0.0000
Ca 0.5000 0.0000 0.0000
Ta 0.5000 0.5000 0.5000
Rh 0.0000 0.0000 0.0000

=====

Density functional theory data (PBE) for CaTa2Rh after structural relaxation.

DOS(E_F) = 18.470 states/eV per cell
calculated formation energy = 638 meV per atom
V = 20.2 Å³/atom
ρ = 10.38 g cm⁻³
space-group type = I-42d (122)
spin magnetization = 0.00 μB per cell
electronic total energy = -0.2803 Ha/atom

abc: 3.9203 3.9203 21.0149
angles: 90.00 90.00 90.00
Positions (direct):
Ca 0.0000 0.0000 0.0000
Ca 0.0000 0.5000 0.2500
Ca 0.5000 0.0000 0.7500
Ca 0.5000 0.5000 0.5000
Ta 0.2363 0.2500 0.6250
Ta 0.2500 0.7363 0.8750
Ta 0.2500 0.7637 0.3750
Ta 0.2637 0.2500 0.1250
Ta 0.7363 0.7500 0.1250
Ta 0.7500 0.2363 0.3750
Ta 0.7500 0.2637 0.8750
Ta 0.7637 0.7500 0.6250
Rh 0.0000 0.0000 0.5000
Rh 0.0000 0.5000 0.7500
Rh 0.5000 0.0000 0.2500
Rh 0.5000 0.5000 0.0000

=====

Density functional theory data (PBE) for CaTa4Rh5 after structural relaxation.

DOS(E_F) = 11.818 states/eV per cell
calculated formation energy = -382 meV per atom
V = 17.5 Å³/atom
ρ = 12.11 g cm⁻³
space-group type = P4/mmm (123)
spin magnetization = 0.00 μB per cell
electronic total energy = -0.3307 Ha/atom

abc: 3.3315 3.3315 15.7944
angles: 90.00 90.00 90.00
Positions (direct):
Ca 0.0000 0.0000 0.0000
Ta 0.0000 0.0000 0.2187
Ta 0.0000 0.0000 0.4079
Ta 0.0000 0.0000 0.5921
Ta 0.0000 0.0000 0.7813
Rh 0.5000 0.5000 0.1408
Rh 0.5000 0.5000 0.3199
Rh 0.5000 0.5000 0.5000
Rh 0.5000 0.5000 0.6801
Rh 0.5000 0.5000 0.8592

=====

Density functional theory data (PBE) for Ca2TaRh after structural relaxation.

DOS(E_F) = 3.154 states/eV per cell
calculated formation energy = 410 meV per atom
V = 21.1 Å³/atom
ρ = 7.18 g cm⁻³
space-group type = Pmmm (47)
spin magnetization = 0.00 μB per cell
electronic total energy = -0.1981 Ha/atom

abc: 3.8051 4.3410 5.0995
angles: 90.00 90.00 90.00
Positions (direct):
Ca 0.0000 0.0000 0.0000
Ca 0.5000 0.5000 0.0000
Ta 0.0000 0.5000 0.5000
Rh 0.5000 0.0000 0.5000

=====

Density functional theory data (PBE) for CaTa2Rh after structural relaxation.

DOS(E_F) = 15.409 states/eV per cell
calculated formation energy = 521 meV per atom
V = 18.1 Å³/atom
ρ = 11.61 g cm⁻³
space-group type = Fm-3m (225)
spin magnetization = 0.00 μB per cell
electronic total energy = -0.2846 Ha/atom

abc: 6.6104 6.6104 6.6104
angles: 90.00 90.00 90.00
Positions (direct):
Ca 0.0000 0.0000 0.0000
Ca 0.0000 0.5000 0.5000
Ca 0.5000 0.0000 0.5000
Ca 0.5000 0.5000 0.0000
Ta 0.2500 0.2500 0.2500
Ta 0.2500 0.2500 0.7500
Ta 0.2500 0.7500 0.2500
Ta 0.2500 0.7500 0.7500
Ta 0.7500 0.2500 0.2500
Ta 0.7500 0.2500 0.7500
Ta 0.7500 0.7500 0.2500
Ta 0.7500 0.7500 0.7500
Rh 0.0000 0.0000 0.5000
Rh 0.0000 0.5000 0.0000
Rh 0.5000 0.0000 0.0000
Rh 0.5000 0.5000 0.5000

=====

Density functional theory data (PBE) for Ca2TaRh after structural relaxation.

DOS(E_F) = 4.374 states/eV per cell
calculated formation energy = 327 meV per atom
V = 22.1 Å³/atom
ρ = 6.84 g cm⁻³
space-group type = P4/mmm (123)
spin magnetization = 0.62 μB per cell
electronic total energy = -0.2012 Ha/atom

abc: 3.1018 3.1018 9.1783
angles: 90.00 90.00 90.00
Positions (direct):
Ca 0.0000 0.0000 0.2099
Ca 0.0000 0.0000 0.7901
Ta 0.5000 0.5000 0.5000
Rh 0.5000 0.5000 0.0000

=====

Density functional theory data (PBE) for CaTa2Rh after structural relaxation.

DOS(E_F) = 7.282 states/eV per cell
calculated formation energy = 162 meV per atom
V = 20.0 Å³/atom
ρ = 10.49 g cm⁻³
space-group type = Cm (8)
spin magnetization = 0.00 μB per cell
electronic total energy = -0.2978 Ha/atom

abc: 10.3588 2.9295 5.8819
angles: 90.00 116.39 90.00
Positions (direct):
Ca 0.0000 0.0000 0.0000
Ca 0.5000 0.5000 0.0000
Ta 0.1876 0.0000 0.6103
Ta 0.4219 0.0000 0.4415
Ta 0.6876 0.5000 0.6103
Ta 0.9219 0.5000 0.4415
Rh 0.2403 0.5000 0.0275
Rh 0.7403 0.0000 0.0275

=====

Density functional theory data (PBE) for Ca2TaRh after structural relaxation.

DOS(E_F) = 7.135 states/eV per cell
calculated formation energy = 434 meV per atom
V = 21.3 Å³/atom
ρ = 7.08 g cm⁻³
space-group type = Cmmm (65)
spin magnetization = 0.00 μB per cell
electronic total energy = -0.1973 Ha/atom

abc: 5.6413 9.9293 3.0467
angles: 90.00 90.00 90.00
Positions (direct):
Ca 0.2500 0.2500 0.0000
Ca 0.2500 0.7500 0.0000
Ca 0.7500 0.2500 0.0000
Ca 0.7500 0.7500 0.0000
Ta 0.0000 0.0000 0.5000
Ta 0.5000 0.5000 0.5000
Rh 0.0000 0.5000 0.5000
Rh 0.5000 0.0000 0.5000

=====

> Among the records above, which one has the highest V?

Ca3TaRh

=====

> The lowest electronic total energy belongs to which entry?

CaTa4Rh